1.
First-principles (PBE) data for a geometry-optimized CdInAg2N structure, as listed in Alexandria.

The structure belongs to space group P4/mmm (No. 123); the cell edges are 4.522, 4.522 and 4.727 Å and the angles 90.00°, 90.00° and 90.00°. Symmetry generates all atoms from Cd at (0.000, 0.000, 0.000), In at (0.500, 0.500, 0.000), Ag at (0.000, 0.500, 0.500) and N at (0.500, 0.500, 0.500).

As for the crystal system: tetragonal. The formation energy (no corrections) is 0.50 eV/atom. The density of states at the Fermi level is 1.18 states/eV per cell. Its final energy is -3.0402 eV/atom. The calculation puts the theoretical density at 7.851 Mg/m³.

---

2.
First-principles (PBE) data for a geometry-optimized NaPmDy2Hg4 structure, as listed in Alexandria.

The structure belongs to space group R-3m (No. 166, hexagonal axes); the cell edges are 5.2316, 5.2316 and 26.1593 Å and the angles 90.00°, 90.00° and 120.00°. Symmetry generates all atoms from Na at (0.0000, 0.0000, 0.0000), Pm at (0.0000, 0.0000, 0.5000), Dy at (0.0000, 0.0000, 0.2547), Hg at (0.0000, 0.0000, 0.1224) and Hg at (0.0000, 0.0000, 0.3748).

As for the crystal system: trigonal. The density of states at the Fermi level is 23.80 states/eV per cell. Its final energy is -2.4668 eV/atom. The formation enthalpy at 0 K comes out at -0.41 eV/atom. The calculation puts the theoretical density at 10.407 Mg/m³.

---

3.
First-principles (PBE) data for a geometry-optimized LiSbSe4 structure, as listed in Alexandria.

The structure belongs to space group F-43m (No. 216); the cell edges are 8.209, 8.209 and 8.209 Å and the angles 90.00°, 90.00° and 90.00°. Symmetry generates all atoms from Li at (0.000, 0.000, 0.000), Sb at (0.250, 0.250, 0.750) and Se at (0.126, 0.126, 0.374).

The calculation puts the energy above the most stable polymorph in this dataset at 3.88 eV/f.u. As for the crystal system: cubic. The formation energy (no corrections) is 0.29 eV/atom. The density of states at the Fermi level is 9.50 states/eV per cell. Its final energy is -3.0359 eV/atom. The calculation puts the theoretical density at 5.338 Mg/m³.

---

4.
First-principles (PBE) data for a geometry-optimized NaZn2Br structure, as listed in Alexandria.

The structure belongs to space group I-42d (No. 122); the cell edges are 8.933, 8.933 and 5.338 Å and the angles 90.00°, 90.00° and 90.00°. Symmetry generates all atoms from Na at (0.000, 0.000, 0.000), Zn at (0.237, 0.750, 0.625) and Br at (0.000, 0.000, 0.500).

The calculation puts the energy above the most stable polymorph in this dataset at 0.00 eV/f.u. As for the crystal system: tetragonal. The formation energy (no corrections) is -0.26 eV/atom. The density of states at the Fermi level is 0.86 states/eV per cell. Its final energy is -1.6402 eV/atom. The calculation puts the theoretical density at 3.644 Mg/m³.

---

5.
First-principles (PBE) data for a geometry-optimized Ti2AgP structure, as listed in Alexandria.

The structure belongs to space group I-42d (No. 122); the cell edges are 7.046, 7.046 and 5.480 Å and the angles 90.00°, 90.00° and 90.00°. Symmetry generates all atoms from Ti at (0.215, 0.250, 0.125), Ag at (0.000, 0.000, 0.500) and P at (0.000, 0.000, 0.000).

As for the crystal system: tetragonal. The density of states at the Fermi level is 18.42 states/eV per cell. Its final energy is -6.1792 eV/atom. The formation enthalpy at 0 K comes out at -0.17 eV/atom. The calculation puts the theoretical density at 5.728 Mg/m³.

---

6.
First-principles (PBE) data for a geometry-optimized Sr3Pd2Pb4 structure, as listed in Alexandria.

The structure belongs to space group C2/m (No. 12); the cell edges are 11.872, 4.973 and 9.689 Å and the angles 90.00°, 112.16° and 90.00°. Symmetry generates all atoms from Sr at (0.000, 0.000, 0.000), Sr at (0.178, 0.500, 0.629), Pd at (0.094, 0.500, 0.272), Pb at (0.023, 0.000, 0.349) and Pb at (0.236, 0.500, 0.096).

As for the crystal system: monoclinic. The density of states at the Fermi level is 4.16 states/eV per cell. Its final energy is -3.8937 eV/atom. The formation enthalpy at 0 K comes out at -0.53 eV/atom. The calculation puts the theoretical density at 8.179 Mg/m³.

---

7.
First-principles (PBE) data for a geometry-optimized AcBAsRh3 structure, as listed in Alexandria.

The structure belongs to space group Cmcm (No. 63); the cell edges are 5.849, 12.232 and 5.976 Å and the angles 90.00°, 90.00° and 90.00°. Symmetry generates all atoms from Ac at (0.000, 0.242, 0.250), B at (0.000, 0.483, 0.750), As at (0.000, 0.115, 0.750), Rh at (0.000, 0.313, 0.750) and Rh at (0.246, 0.500, 0.000).

As for the crystal system: orthorhombic. The density of states at the Fermi level is 9.93 states/eV per cell. Its final energy is -6.9547 eV/atom. The formation enthalpy at 0 K comes out at -0.71 eV/atom. The calculation puts the theoretical density at 9.654 Mg/m³.

---

8.
First-principles (PBE) data for a geometry-optimized Sr6PmO8 structure, as listed in Alexandria.

The structure belongs to space group Fm-3m (No. 225); the cell edges are 10.382, 10.382 and 10.382 Å and the angles 90.00°, 90.00° and 90.00°. Symmetry generates all atoms from Sr at (0.000, 0.250, 0.250), Pm at (0.000, 0.000, 0.000), O at (0.000, 0.000, 0.225) and O at (0.250, 0.250, 0.250).

As for the crystal system: cubic. The formation energy (no corrections) is -2.69 eV/atom. The density of states at the Fermi level is 29.64 states/eV per cell. Its final energy is -6.3225 eV/atom. The calculation puts the theoretical density at 4.741 Mg/m³.

---

9.
First-principles (PBE) data for a geometry-optimized NdThMgSn structure, as listed in Alexandria.

The structure belongs to space group F-43m (No. 216); the cell edges are 7.728, 7.728 and 7.728 Å and the angles 90.00°, 90.00° and 90.00°. Symmetry generates all atoms from Nd at (0.000, 0.000, 0.000), Th at (0.000, 0.000, 0.500), Mg at (0.250, 0.250, 0.250) and Sn at (0.250, 0.250, 0.750).

As for the crystal system: cubic. The density of states at the Fermi level is 12.97 states/eV per cell. Its final energy is -4.7105 eV/atom. The formation enthalpy at 0 K comes out at -0.26 eV/atom. The calculation puts the theoretical density at 7.473 Mg/m³.

---

10.
First-principles (PBE) data for a geometry-optimized TaV3Te8 structure, as listed in Alexandria.

The structure belongs to space group C2/m (No. 12); the cell edges are 12.627, 7.287 and 8.471 Å and the angles 90.00°, 120.21° and 90.00°. Symmetry generates all atoms from Ta at (0.000, 0.000, 0.000), V at (0.000, 0.500, 0.000), V at (0.250, 0.250, 0.000), Te at (0.004, 0.256, 0.758), Te at (0.246, 0.500, 0.235) and Te at (0.248, 0.500, 0.758).

As for the crystal system: monoclinic. The formation energy (no corrections) is -0.32 eV/atom. The density of states at the Fermi level is 9.05 states/eV per cell. Its final energy is -5.6813 eV/atom. The calculation puts the theoretical density at 6.678 Mg/m³.

---

11.
First-principles (PBE) data for a geometry-optimized Nb2GaSi structure, as listed in Alexandria.

The structure belongs to space group R-3m (No. 166, hexagonal axes); the cell edges are 3.6247, 3.6247 and 18.5943 Å and the angles 90.00°, 90.00° and 120.00°. Symmetry generates all atoms from Nb at (0.0000, 0.0000, 0.2431), Ga at (0.0000, 0.0000, 0.0000) and Si at (0.0000, 0.0000, 0.5000).

As for the crystal system: trigonal. The formation energy (no corrections) is -0.18 eV/atom. The density of states at the Fermi level is 6.41 states/eV per cell. Its final energy is -7.3239 eV/atom. The calculation puts the theoretical density at 6.678 Mg/m³.

---

12.
First-principles (PBE) data for a geometry-optimized DyIn2Pb structure, as listed in Alexandria.

The structure belongs to space group P4/mmm (No. 123); the cell edges are 4.597, 4.597 and 4.990 Å and the angles 90.00°, 90.00° and 90.00°. Symmetry generates all atoms from Dy at (0.000, 0.000, 0.000), In at (0.000, 0.500, 0.500) and Pb at (0.500, 0.500, 0.000).

The calculation puts the energy above the most stable polymorph in this dataset at 0.00 eV/f.u. As for the crystal system: tetragonal. The density of states at the Fermi level is 2.34 states/eV per cell. Its final energy is -3.7980 eV/atom. The formation enthalpy at 0 K comes out at -0.35 eV/atom. The calculation puts the theoretical density at 9.439 Mg/m³.

---

13.
First-principles (PBE) data for a geometry-optimized Na3Sc3VS8 structure, as listed in Alexandria.

The structure belongs to space group R-3m (No. 166, hexagonal axes); the cell edges are 7.3459, 7.3459 and 20.2828 Å and the angles 90.00°, 90.00° and 120.00°. Symmetry generates all atoms from Na at (0.0000, 0.5000, 0.0000), Sc at (0.0000, 0.5000, 0.5000), V at (0.0000, 0.0000, 0.5000), S at (0.0000, 0.0000, 0.2390) and S at (0.0175, 0.5087, 0.2351).

As for the crystal system: trigonal. The formation energy (no corrections) is -1.52 eV/atom. The density of states at the Fermi level is 17.65 states/eV per cell. Its final energy is -5.8548 eV/atom. The calculation puts the theoretical density at 2.687 Mg/m³.